Material: RbPu2Te3
Method: DFT, GGA-PBE
State: relaxed

POSCAR file:
```
RbPu2Te3
1.0
4.542 0.000 0.000
-2.271 3.934 0.000
0.000 0.000 24.377
Rb Pu Te
2 4 6
Direct
0.000 0.000 0.250 Rb
0.000 0.000 0.750 Rb
0.333 0.667 0.075 Pu
0.333 0.667 0.425 Pu
0.667 0.333 0.575 Pu
0.667 0.333 0.925 Pu
0.000 0.000 0.000 Te
0.000 0.000 0.500 Te
0.333 0.667 0.645 Te
0.333 0.667 0.855 Te
0.667 0.333 0.145 Te
0.667 0.333 0.355 Te
```

Space group   P6_3/mmc
DFT total energy   -91.452 eV/cell
Volume   36.30 A^3/atom

Material: Rb2Pu2Te5
Method: DFT, GGA-PBE
State: relaxed

POSCAR file:
```
Rb2Pu2Te5
1.0
9.049 -4.244 0.000
9.049 4.244 0.000
0.000 0.000 8.497
Rb Pu Te
4 4 10
Direct
0.206 0.206 0.000 Rb
0.294 0.294 0.500 Rb
0.706 0.706 0.500 Rb
0.794 0.794 0.000 Rb
0.158 0.842 0.658 Pu
0.342 0.658 0.158 Pu
0.658 0.342 0.842 Pu
0.842 0.158 0.342 Pu
0.000 0.000 0.000 Te
0.035 0.744 0.355 Te
0.244 0.535 0.855 Te
0.256 0.965 0.355 Te
0.465 0.756 0.855 Te
0.500 0.500 0.500 Te
0.535 0.244 0.145 Te
0.744 0.035 0.645 Te
0.756 0.465 0.145 Te
0.965 0.256 0.645 Te
```

Space group   Cmce
DFT total energy   -109.402 eV/cell
Volume   36.26 A^3/atom

Material: Rb2Pu3Te6
Method: DFT, GGA-PBE
State: relaxed

POSCAR file:
```
Rb2Pu3Te6
1.0
3.902 -6.760 0.000
3.902 6.760 0.000
-2.602 0.000 8.681
Rb Pu Te
2 3 6
Direct
0.167 0.833 0.000 Rb
0.833 0.167 0.000 Rb
0.000 0.000 0.500 Pu
0.333 0.667 0.500 Pu
0.667 0.333 0.500 Pu
0.066 0.398 0.695 Te
0.270 0.270 0.305 Te
0.398 0.066 0.695 Te
0.602 0.934 0.305 Te
0.730 0.730 0.695 Te
0.934 0.602 0.305 Te
```

Space group   C2/m
DFT total energy   -75.240 eV/cell
Volume   41.64 A^3/atom

Material: Rb3PuTh2Te6
Method: DFT, GGA-PBE
State: relaxed

POSCAR file:
```
Rb3PuTh2Te6
1.0
3.966 -6.869 0.000
3.966 6.869 0.000
-2.643 0.000 8.661
Rb Pu Th Te
3 1 2 6
Direct
0.000 0.000 0.000 Rb
0.335 0.665 0.000 Rb
0.665 0.335 0.000 Rb
0.500 0.500 0.500 Pu
0.167 0.833 0.500 Th
0.833 0.167 0.500 Th
0.094 0.431 0.293 Te
0.232 0.232 0.706 Te
0.431 0.094 0.293 Te
0.569 0.906 0.707 Te
0.768 0.768 0.294 Te
0.906 0.569 0.707 Te
```

Space group   C2/m
DFT total energy   -64.998 eV/cell
Volume   39.32 A^3/atom

Material: Rb2PuTh2Te6
Method: DFT, GGA-PBE
State: relaxed

POSCAR file:
```
Rb2PuTh2Te6
1.0
3.944 -6.845 0.000
3.944 6.845 0.000
-2.605 0.000 8.786
Rb Pu Th Te
2 1 2 6
Direct
0.165 0.835 0.000 Rb
0.835 0.165 0.000 Rb
0.000 0.000 0.500 Pu
0.333 0.667 0.500 Th
0.667 0.333 0.500 Th
0.067 0.405 0.702 Te
0.273 0.273 0.298 Te
0.405 0.067 0.702 Te
0.595 0.933 0.298 Te
0.727 0.727 0.702 Te
0.933 0.595 0.298 Te
```

Space group   C2/m
DFT total energy   -63.072 eV/cell
Volume   43.13 A^3/atom

Material: Rb3PuTh3Te8
Method: DFT, GGA-PBE
State: relaxed

POSCAR file:
```
Rb3PuTh3Te8
1.0
4.531 2.616 8.793
-4.531 2.616 8.793
0.000 -5.232 8.793
Rb Pu Th Te
3 1 3 8
Direct
0.000 0.500 0.500 Rb
0.500 0.000 0.500 Rb
0.500 0.500 0.000 Rb
0.500 0.500 0.500 Pu
0.000 0.000 0.500 Th
0.000 0.500 0.000 Th
0.500 0.000 0.000 Th
0.229 0.738 0.738 Te
0.236 0.236 0.236 Te
0.262 0.262 0.771 Te
0.262 0.771 0.262 Te
0.738 0.229 0.738 Te
0.738 0.738 0.229 Te
0.764 0.764 0.764 Te
0.771 0.262 0.262 Te
```

Space group   R-3m
DFT total energy   -82.283 eV/cell
Volume   41.68 A^3/atom

Material: Rb4Pu3TiTe8
Method: DFT, GGA-PBE
State: relaxed

POSCAR file:
```
Rb4Pu3TiTe8
1.0
4.495 2.595 8.517
-4.495 2.595 8.517
0.000 -5.191 8.517
Rb Pu Ti Te
4 3 1 8
Direct
0.000 0.000 0.000 Rb
0.000 0.500 0.500 Rb
0.500 0.000 0.500 Rb
0.500 0.500 0.000 Rb
0.000 0.000 0.500 Pu
0.000 0.500 0.000 Pu
0.500 0.000 0.000 Pu
0.500 0.500 0.500 Ti
0.234 0.234 0.234 Te
0.252 0.720 0.720 Te
0.280 0.280 0.748 Te
0.280 0.748 0.280 Te
0.720 0.252 0.720 Te
0.720 0.720 0.252 Te
0.748 0.280 0.280 Te
0.766 0.766 0.766 Te
```

Space group   R-3m
DFT total energy   -96.161 eV/cell
Volume   37.27 A^3/atom

Material: Rb3Pu2TlTe6
Method: DFT, GGA-PBE
State: relaxed

POSCAR file:
```
Rb3Pu2TlTe6
1.0
4.081 -7.057 0.000
4.081 7.057 0.000
-2.719 0.000 8.369
Rb Pu Tl Te
3 2 1 6
Direct
0.000 0.000 0.000 Rb
0.344 0.656 0.000 Rb
0.656 0.344 0.000 Rb
0.168 0.832 0.500 Pu
0.832 0.168 0.500 Pu
0.500 0.500 0.500 Tl
0.069 0.432 0.300 Te
0.204 0.204 0.696 Te
0.432 0.069 0.300 Te
0.568 0.931 0.700 Te
0.796 0.796 0.304 Te
0.931 0.568 0.700 Te
```

Space group   C2/m
DFT total energy   -63.548 eV/cell
Volume   40.17 A^3/atom

Material: Rb2TmPuTe4
Method: DFT, GGA-PBE
State: relaxed

POSCAR file:
```
Rb2TmPuTe4
1.0
7.903 0.000 0.000
0.000 4.547 0.000
-2.622 0.000 8.513
Rb Tm Pu Te
2 1 1 4
Direct
0.000 0.000 0.000 Rb
0.500 0.500 0.000 Rb
0.000 0.500 0.500 Tm
0.500 0.000 0.500 Pu
0.225 0.000 0.698 Te
0.261 0.500 0.302 Te
0.739 0.500 0.698 Te
0.775 0.000 0.302 Te
```

Space group   P2/m
DFT total energy   -43.063 eV/cell
Volume   38.23 A^3/atom

Material: Rb3Tm2PuTe6
Method: DFT, GGA-PBE
State: relaxed

POSCAR file:
```
Rb3Tm2PuTe6
1.0
3.930 -6.805 0.000
3.930 6.805 0.000
-2.625 0.000 8.522
Rb Tm Pu Te
3 2 1 6
Direct
0.000 0.000 0.000 Rb
0.335 0.665 0.000 Rb
0.665 0.335 0.000 Rb
0.167 0.833 0.500 Tm
0.833 0.167 0.500 Tm
0.500 0.500 0.500 Pu
0.093 0.434 0.302 Te
0.225 0.225 0.697 Te
0.434 0.093 0.302 Te
0.566 0.907 0.698 Te
0.775 0.775 0.303 Te
0.907 0.566 0.698 Te
```

Space group   C2/m
DFT total energy   -60.145 eV/cell
Volume   37.98 A^3/atom

Material: Rb4PuU3Te8
Method: DFT, GGA-PBE
State: relaxed

POSCAR file:
```
Rb4PuU3Te8
1.0
4.558 2.632 8.587
-4.558 2.632 8.587
0.000 -5.263 8.587
Rb Pu U Te
4 1 3 8
Direct
0.000 0.000 0.000 Rb
0.000 0.500 0.500 Rb
0.500 0.000 0.500 Rb
0.500 0.500 0.000 Rb
0.500 0.500 0.500 Pu
0.000 0.000 0.500 U
0.000 0.500 0.000 U
0.500 0.000 0.000 U
0.230 0.736 0.736 Te
0.234 0.234 0.234 Te
0.264 0.264 0.770 Te
0.264 0.770 0.264 Te
0.736 0.230 0.736 Te
0.736 0.736 0.230 Te
0.766 0.766 0.766 Te
0.770 0.264 0.264 Te
```

Space group   R-3m
DFT total energy   -91.807 eV/cell
Volume   38.63 A^3/atom

Material: Rb4Pu3UTe8
Method: DFT, GGA-PBE
State: relaxed

POSCAR file:
```
Rb4Pu3UTe8
1.0
4.597 2.654 8.515
-4.597 2.654 8.515
0.000 -5.309 8.515
Rb Pu U Te
4 3 1 8
Direct
0.000 0.000 0.000 Rb
0.000 0.500 0.500 Rb
0.500 0.000 0.500 Rb
0.500 0.500 0.000 Rb
0.000 0.000 0.500 Pu
0.000 0.500 0.000 Pu
0.500 0.000 0.000 Pu
0.500 0.500 0.500 U
0.233 0.233 0.233 Te
0.239 0.730 0.730 Te
0.270 0.270 0.761 Te
0.270 0.761 0.270 Te
0.730 0.239 0.730 Te
0.730 0.730 0.239 Te
0.761 0.270 0.270 Te
0.767 0.767 0.767 Te
```

Space group   R-3m
DFT total energy   -100.144 eV/cell
Volume   38.97 A^3/atom